First-principles (PBE) data for an optimized crystal structure of MgTi2O, as listed in Alexandria.

Properties
Final energy = -21.08 eV/cell
Raw formation energy = 0.32 eV/atom
Total moment = 0.000 μB/atom
E above lowest polymorph = 1504 meV per atom
Space-group type = Fm-3m (225)

Cell lengths 4.416, 4.416, 4.416 Å; angles 60.00, 60.00, 60.00 degrees
Sites, in units of the cell vectors:
Ti (0.750, 0.750, 0.750)
Ti (0.250, 0.250, 0.250)
Mg (0.500, 0.500, 0.500)
O (0.000, 0.000, 0.000)

First-principles (PBE) data for an optimized crystal structure of MgTi3O, as listed in Alexandria.

Properties
Final energy = -22.05 eV/cell
Raw formation energy = 1.64 eV/atom
Total moment = 0.630 μB/atom
Space-group type = Pm-3m (221)

Cell lengths 4.780, 4.780, 4.780 Å; angles 90.00, 90.00, 90.00 degrees
Each line ends with the local moment (μB).
Sites, in units of the cell vectors:
Ti (0.000, 0.500, 0.000)  0.71
Ti (0.000, 0.000, 0.500)  0.85
Ti (0.500, 0.000, 0.000)  0.81
O (0.500, 0.500, 0.500)  -0.12
Mg (0.000, 0.000, 0.000)  0.00

First-principles (PBE) data for an optimized crystal structure of MgTi4O8, as listed in Alexandria.

Properties
Final energy = -109.92 eV/cell
Raw formation energy = -2.85 eV/atom
Total moment = 0.155 μB/atom
E above lowest polymorph = 0 meV per atom
Space-group type = Cm (8)

Cell lengths 7.450, 7.450, 9.609 Å; angles 50.90, 50.90, 22.85 degrees
Each line ends with the local moment (μB).
Sites, in units of the cell vectors:
O (0.540, 0.540, 0.242)  -0.02
O (0.826, 0.826, 0.351)  -0.01
O (0.857, 0.857, 0.588)  -0.01
O (0.162, 0.162, 0.656)  0.01
O (0.471, 0.471, 0.713)  0.00
O (0.213, 0.213, 0.899)  0.01
O (0.781, 0.781, 0.049)  -0.01
O (0.143, 0.143, 0.379)  -0.01
Ti (0.162, 0.162, 0.161)  0.47
Ti (0.858, 0.858, 0.797)  0.47
Ti (0.374, 0.374, 0.427)  0.38
Ti (0.647, 0.647, 0.512)  0.55
Mg (0.671, 0.671, 0.795)  0.00

First-principles (PBE) data for an optimized crystal structure of MgTiO2, as listed in Alexandria.

Properties
Final energy = -116.33 eV/cell
Raw formation energy = -2.42 eV/atom
Total moment = 0.022 μB/atom
Space-group type = P-1 (2)

Cell lengths 2.870, 7.778, 8.527 Å; angles 82.72, 80.31, 79.38 degrees
Each line ends with the local moment (μB).
Sites, in units of the cell vectors:
O (0.714, 0.230, 0.842)  0.00
O (0.100, 0.119, 0.182)  0.00
O (0.900, 0.881, 0.818)  0.00
O (0.590, 0.614, 0.706)  0.00
O (0.410, 0.386, 0.294)  0.00
O (0.334, 0.259, 0.574)  0.00
O (0.666, 0.741, 0.426)  0.00
O (0.286, 0.770, 0.158)  0.00
Mg (0.431, 0.710, 0.926)  0.00
Mg (0.569, 0.290, 0.074)  0.00
Mg (0.840, 0.573, 0.248)  0.00
Mg (0.160, 0.427, 0.752)  0.00
Ti (0.656, 0.932, 0.255)  0.16
Ti (0.344, 0.068, 0.745)  0.16
Ti (0.064, 0.792, 0.580)  -0.03
Ti (0.936, 0.208, 0.420)  -0.03

First-principles (PBE) data for an optimized crystal structure of MgTi2O, as listed in Alexandria.

Properties
Final energy = -52.14 eV/cell
Raw formation energy = -0.93 eV/atom
Total moment = 0.000 μB/atom
E above lowest polymorph = 256 meV per atom
Space-group type = I-42d (122)

Cell lengths 6.217, 6.217, 5.707 Å; angles 57.00, 57.00, 90.00 degrees
Sites, in units of the cell vectors:
Ti (0.375, 0.514, 0.750)
Ti (0.875, 0.736, 0.750)
Ti (0.486, 0.125, 0.250)
Ti (0.264, 0.625, 0.250)
Mg (0.750, 0.250, 0.500)
Mg (0.000, 0.000, 0.000)
O (0.500, 0.500, 0.000)
O (0.250, 0.750, 0.500)

First-principles (PBE) data for an optimized crystal structure of MgTiO2, as listed in Alexandria.

Properties
Final energy = -117.42 eV/cell
Raw formation energy = -2.49 eV/atom
Total moment = 0.000 μB/atom
Space-group type = C2/m (12)

Cell lengths 2.901, 7.817, 8.009 Å; angles 84.79, 79.55, 79.30 degrees
Sites, in units of the cell vectors:
O (0.680, 0.185, 0.956)
O (0.866, 0.434, 0.333)
O (0.306, 0.237, 0.652)
O (0.320, 0.815, 0.044)
O (0.134, 0.566, 0.667)
O (0.056, 0.116, 0.271)
O (0.694, 0.763, 0.348)
O (0.944, 0.884, 0.729)
Mg (0.427, 0.241, 0.404)
Mg (0.681, 0.963, 0.174)
Mg (0.573, 0.759, 0.596)
Mg (0.319, 0.037, 0.826)
Ti (0.319, 0.610, 0.252)
Ti (0.681, 0.390, 0.748)
Ti (0.037, 0.337, 0.089)
Ti (0.963, 0.663, 0.911)

First-principles (PBE) data for an optimized crystal structure of MgTiO2, as listed in Alexandria.

Properties
Final energy = -114.51 eV/cell
Raw formation energy = -2.31 eV/atom
Total moment = 0.125 μB/atom
Space-group type = C2/m (12)

Cell lengths 8.073, 8.073, 10.079 Å; angles 52.02, 52.02, 20.51 degrees
Each line ends with the local moment (μB).
Sites, in units of the cell vectors:
O (0.140, 0.140, 0.170)  -0.01
O (0.156, 0.156, 0.885)  0.00
O (0.860, 0.860, 0.830)  -0.01
O (0.449, 0.449, 0.261)  0.00
O (0.844, 0.844, 0.115)  0.00
O (0.551, 0.551, 0.739)  0.00
O (0.193, 0.193, 0.414)  0.00
O (0.807, 0.807, 0.586)  0.00
Mg (0.678, 0.678, 0.275)  0.00
Mg (0.028, 0.028, 0.609)  0.00
Mg (0.322, 0.322, 0.725)  0.00
Mg (0.972, 0.972, 0.391)  0.00
Ti (0.397, 0.397, 0.941)  0.86
Ti (0.185, 0.185, 0.641)  0.01
Ti (0.603, 0.603, 0.059)  0.86
Ti (0.815, 0.815, 0.359)  0.01

First-principles (PBE) data for an optimized crystal structure of MgTi4O8, as listed in Alexandria.

Properties
Final energy = -109.67 eV/cell
Raw formation energy = -2.83 eV/atom
Total moment = 0.104 μB/atom
E above lowest polymorph = 19 meV per atom
Space-group type = R-3m (166)

Cell lengths 6.100, 6.100, 6.100 Å; angles 58.14, 58.14, 58.14 degrees
Each line ends with the local moment (μB).
Sites, in units of the cell vectors:
O (0.732, 0.732, 0.732)  0.00
O (0.268, 0.268, 0.268)  0.00
O (0.726, 0.246, 0.246)  0.01
O (0.274, 0.754, 0.754)  0.01
O (0.246, 0.246, 0.726)  0.01
O (0.246, 0.726, 0.246)  0.01
O (0.754, 0.754, 0.274)  0.01
O (0.754, 0.274, 0.754)  0.01
Mg (0.500, 0.500, 0.500)  0.00
Ti (0.500, 0.000, 0.500)  0.16
Ti (0.000, 0.000, 0.000)  0.67
Ti (0.500, 0.500, 0.000)  0.16
Ti (0.000, 0.500, 0.500)  0.16

First-principles (PBE) data for an optimized crystal structure of MgTi2O, as listed in Alexandria.

Properties
Final energy = -27.09 eV/cell
Raw formation energy = -1.19 eV/atom
Total moment = 0.000 μB/atom
E above lowest polymorph = 0 meV per atom
Space-group type = R3m (160)

Cell lengths 3.043, 3.043, 7.499 Å; angles 78.29, 78.29, 60.00 degrees
Sites, in units of the cell vectors:
Mg (0.499, 0.499, 0.502)
Ti (0.053, 0.053, 0.840)
Ti (0.280, 0.280, 0.160)
O (0.667, 0.667, 0.998)

First-principles (PBE) data for an optimized crystal structure of Mg3TiO, as listed in Alexandria.

Properties
Final energy = -10.74 eV/cell
Raw formation energy = 1.38 eV/atom
Total moment = 0.518 μB/atom
E above lowest polymorph = 1922 meV per atom
Space-group type = Pm-3m (221)

Cell lengths 5.462, 5.462, 5.462 Å; angles 90.00, 90.00, 90.00 degrees
Each line ends with the local moment (μB).
Sites, in units of the cell vectors:
O (0.500, 0.500, 0.500)  0.28
Mg (0.000, 0.000, 0.500)  0.00
Mg (0.000, 0.500, 0.000)  0.02
Mg (0.500, 0.000, 0.000)  0.04
Ti (0.000, 0.000, 0.000)  1.57

First-principles (PBE) data for an optimized crystal structure of Mg2Ti7O15, as listed in Alexandria.

Properties
Final energy = -408.77 eV/cell
Raw formation energy = -2.98 eV/atom
Total moment = 0.073 μB/atom
Space-group type = P2_1/m (11)

Cell lengths 10.113, 5.259, 10.671 Å; angles 83.71, 90.00, 90.00 degrees
Each line ends with the local moment (μB).
Sites, in units of the cell vectors:
O (0.067, 0.651, 0.730)  -0.01
O (0.620, 0.915, 0.183)  -0.02
O (0.113, 0.425, 0.485)  -0.01
O (0.611, 0.240, 0.848)  -0.01
O (0.613, 0.575, 0.515)  -0.01
O (0.933, 0.685, 0.938)  -0.01
O (0.250, 0.872, 0.583)  0.00
O (0.750, 0.448, 0.097)  0.00
O (0.387, 0.425, 0.485)  -0.01
O (0.880, 0.915, 0.183)  -0.02
O (0.933, 0.349, 0.270)  -0.01
O (0.750, 0.796, 0.759)  0.00
O (0.433, 0.651, 0.730)  -0.01
O (0.567, 0.023, 0.603)  -0.01
O (0.250, 0.552, 0.903)  0.00
O (0.433, 0.977, 0.397)  -0.01
O (0.567, 0.685, 0.938)  -0.01
O (0.433, 0.315, 0.062)  -0.01
O (0.111, 0.760, 0.152)  -0.01
O (0.120, 0.085, 0.817)  -0.02
O (0.933, 0.023, 0.603)  -0.01
O (0.250, 0.204, 0.241)  0.00
O (0.887, 0.575, 0.515)  -0.01
O (0.750, 0.128, 0.417)  0.00
O (0.067, 0.315, 0.062)  -0.01
O (0.380, 0.085, 0.817)  -0.02
O (0.889, 0.240, 0.848)  -0.01
O (0.567, 0.349, 0.270)  -0.01
O (0.389, 0.760, 0.152)  -0.01
O (0.067, 0.977, 0.397)  -0.01
Mg (0.250, 0.174, 0.436)  0.00
Mg (0.750, 0.487, 0.899)  0.00
Mg (0.750, 0.826, 0.564)  0.00
Mg (0.250, 0.513, 0.101)  0.00
Ti (0.062, 0.724, 0.543)  0.17
Ti (0.431, 0.062, 0.213)  0.20
Ti (0.750, 0.158, 0.231)  0.41
Ti (0.569, 0.938, 0.787)  0.20
Ti (0.062, 0.389, 0.880)  0.30
Ti (0.938, 0.276, 0.457)  0.17
Ti (0.250, 0.842, 0.769)  0.41
Ti (0.438, 0.724, 0.543)  0.17
Ti (0.562, 0.276, 0.457)  0.17
Ti (0.562, 0.611, 0.120)  0.30
Ti (0.938, 0.611, 0.120)  0.30
Ti (0.069, 0.062, 0.213)  0.20
Ti (0.931, 0.938, 0.787)  0.20
Ti (0.438, 0.389, 0.880)  0.30

First-principles (PBE) data for an optimized crystal structure of Mg2Ti4O9, as listed in Alexandria.

Properties
Final energy = -245.91 eV/cell
Raw formation energy = -2.90 eV/atom
Total moment = 0.134 μB/atom
Space-group type = P-3c1 (165)

Cell lengths 5.122, 5.122, 13.905 Å; angles 90.00, 90.00, 60.00 degrees
Each line ends with the local moment (μB).
Sites, in units of the cell vectors:
O (0.682, 0.000, 0.750)  -0.01
O (0.000, 0.681, 0.250)  -0.01
O (0.630, 0.347, 0.583)  0.00
O (0.653, 0.371, 0.917)  0.00
O (0.348, 0.023, 0.583)  0.00
O (0.371, 0.977, 0.917)  0.00
O (0.652, 0.977, 0.417)  0.00
O (0.023, 0.629, 0.583)  0.00
O (0.000, 0.319, 0.750)  -0.01
O (0.681, 0.319, 0.250)  -0.01
O (0.370, 0.653, 0.417)  0.00
O (0.318, 0.000, 0.250)  -0.01
O (0.977, 0.371, 0.417)  0.00
O (0.023, 0.347, 0.083)  0.00
O (0.347, 0.629, 0.083)  0.00
O (0.977, 0.653, 0.917)  0.00
O (0.629, 0.023, 0.083)  0.00
O (0.319, 0.681, 0.750)  -0.01
Ti (0.667, 0.667, 0.813)  0.49
Ti (0.667, 0.667, 0.518)  0.42
Ti (0.333, 0.333, 0.187)  0.49
Ti (0.666, 0.667, 0.313)  0.49
Ti (0.334, 0.333, 0.687)  0.49
Ti (0.333, 0.333, 0.982)  0.42
Ti (0.333, 0.333, 0.482)  0.42
Ti (0.667, 0.667, 0.018)  0.42
Mg (0.000, 0.000, 0.853)  0.00
Mg (0.000, 0.000, 0.147)  0.00
Mg (0.000, 0.000, 0.647)  0.00
Mg (0.000, 0.000, 0.353)  0.00

First-principles (PBE) data for an optimized crystal structure of MgTi8O16, as listed in Alexandria.

Properties
Final energy = -217.51 eV/cell
Raw formation energy = -2.94 eV/atom
Total moment = 0.066 μB/atom
Space-group type = P1 (1)

Cell lengths 5.210, 5.649, 9.376 Å; angles 87.94, 88.94, 88.38 degrees
Each line ends with the local moment (μB).
Sites, in units of the cell vectors:
O (0.445, 0.876, 0.233)  0.00
O (0.451, 0.377, 0.266)  -0.01
O (0.044, 0.910, 0.736)  0.00
O (0.219, 0.627, 0.510)  -0.01
O (0.304, 0.653, 0.016)  0.00
O (0.702, 0.862, 0.510)  0.00
O (0.306, 0.136, 0.486)  -0.01
O (0.178, 0.150, 0.996)  -0.01
O (0.800, 0.369, 0.495)  0.00
O (0.548, 0.618, 0.735)  -0.01
O (0.945, 0.113, 0.269)  0.00
O (0.807, 0.863, 0.010)  -0.01
O (0.685, 0.359, 0.990)  -0.01
O (0.941, 0.613, 0.234)  -0.01
O (0.060, 0.398, 0.766)  -0.01
O (0.540, 0.133, 0.761)  -0.01
Ti (0.084, 0.385, 0.371)  0.19
Ti (0.908, 0.641, 0.633)  0.41
Ti (0.350, 0.393, 0.895)  0.10
Ti (0.369, 0.878, 0.636)  0.42
Ti (0.614, 0.585, 0.135)  0.11
Ti (0.611, 0.070, 0.353)  0.06
Ti (0.109, 0.888, 0.126)  0.10
Ti (0.854, 0.110, 0.871)  0.17
Mg (0.463, 0.375, 0.598)  0.00

First-principles (PBE) data for an optimized crystal structure of MgTi2O, as listed in Alexandria.

Properties
Final energy = -26.15 eV/cell
Raw formation energy = -0.95 eV/atom
Total moment = 0.000 μB/atom
E above lowest polymorph = 235 meV per atom
Space-group type = R-3m (166)

Cell lengths 3.009, 3.009, 8.102 Å; angles 79.30, 79.30, 60.00 degrees
Sites, in units of the cell vectors:
O (0.500, 0.500, 0.500)
Ti (0.117, 0.117, 0.648)
Ti (0.883, 0.883, 0.352)
Mg (0.000, 0.000, 0.000)

First-principles (PBE) data for an optimized crystal structure of Mg2Ti3O8, as listed in Alexandria.

Properties
Final energy = -209.27 eV/cell
Raw formation energy = -2.93 eV/atom
Total moment = 0.000 μB/atom
E above lowest polymorph = 0 meV per atom
Space-group type = P6_3mc (186)

Cell lengths 5.963, 5.963, 9.479 Å; angles 90.00, 90.00, 120.00 degrees
Sites, in units of the cell vectors:
O (0.000, 0.000, 0.852)
O (0.837, 0.163, 0.146)
O (0.481, 0.519, 0.366)
O (0.163, 0.837, 0.646)
O (0.673, 0.837, 0.646)
O (0.837, 0.673, 0.146)
O (0.333, 0.667, 0.131)
O (0.519, 0.038, 0.866)
O (0.519, 0.481, 0.866)
O (0.327, 0.163, 0.146)
O (0.038, 0.519, 0.366)
O (0.962, 0.481, 0.866)
O (0.000, 0.000, 0.352)
O (0.163, 0.327, 0.646)
O (0.481, 0.962, 0.366)
O (0.667, 0.333, 0.631)
Ti (0.326, 0.163, 0.744)
Ti (0.837, 0.674, 0.744)
Ti (0.163, 0.326, 0.244)
Ti (0.837, 0.163, 0.744)
Ti (0.674, 0.837, 0.244)
Ti (0.163, 0.837, 0.244)
Mg (0.667, 0.333, 0.023)
Mg (0.667, 0.333, 0.417)
Mg (0.333, 0.667, 0.917)
Mg (0.333, 0.667, 0.523)

First-principles (PBE) data for an optimized crystal structure of Mg3TiO, as listed in Alexandria.

Properties
Final energy = -20.36 eV/cell
Raw formation energy = -0.54 eV/atom
Total moment = 0.394 μB/atom
E above lowest polymorph = 0 meV per atom
Space-group type = Pm-3m (221)

Cell lengths 4.378, 4.378, 4.378 Å; angles 90.00, 90.00, 90.00 degrees
Each line ends with the local moment (μB).
Sites, in units of the cell vectors:
Mg (0.000, 0.000, 0.500)  -0.02
Mg (0.000, 0.500, 0.000)  -0.02
Mg (0.500, 0.000, 0.000)  -0.01
O (0.000, 0.000, 0.000)  -0.11
Ti (0.500, 0.500, 0.500)  -1.24

First-principles (PBE) data for an optimized crystal structure of Mg3Ti9O20, as listed in Alexandria.

Properties
Final energy = -270.55 eV/cell
Raw formation energy = -2.99 eV/atom
Total moment = 0.055 μB/atom
Space-group type = Cm (8)

Cell lengths 10.799, 10.799, 5.259 Å; angles 82.76, 82.76, 138.98 degrees
Each line ends with the local moment (μB).
Sites, in units of the cell vectors:
O (0.876, 0.188, 0.379)  0.00
O (0.078, 0.718, 0.913)  -0.01
O (0.015, 0.517, 0.439)  0.00
O (0.688, 0.374, 0.375)  0.00
O (0.786, 0.915, 0.098)  -0.02
O (0.630, 0.812, 0.620)  -0.01
O (0.718, 0.078, 0.913)  -0.01
O (0.915, 0.786, 0.098)  -0.02
O (0.215, 0.580, 0.909)  -0.01
O (0.285, 0.423, 0.090)  -0.01
O (0.500, 0.500, 0.544)  0.00
O (0.308, 0.129, 0.628)  -0.01
O (0.129, 0.308, 0.628)  -0.01
O (0.188, 0.876, 0.379)  0.00
O (0.580, 0.215, 0.909)  -0.01
O (0.517, 0.015, 0.439)  0.00
O (0.812, 0.630, 0.620)  -0.01
O (0.979, 0.979, 0.546)  0.00
O (0.423, 0.285, 0.090)  -0.01
O (0.374, 0.688, 0.375)  0.00
Mg (0.223, 0.724, 0.610)  0.00
Mg (0.279, 0.279, 0.387)  0.00
Mg (0.724, 0.223, 0.610)  0.00
Ti (0.152, 0.467, 0.267)  0.11
Ti (0.852, 0.039, 0.731)  0.28
Ti (0.039, 0.852, 0.731)  0.28
Ti (0.646, 0.965, 0.276)  0.12
Ti (0.965, 0.646, 0.276)  0.12
Ti (0.778, 0.778, 0.389)  0.35
Ti (0.534, 0.347, 0.734)  0.18
Ti (0.347, 0.534, 0.734)  0.18
Ti (0.467, 0.152, 0.267)  0.11

First-principles (PBE) data for an optimized crystal structure of MgTiO2, as listed in Alexandria.

Properties
Final energy = -29.47 eV/cell
Raw formation energy = -2.52 eV/atom
Total moment = 0.000 μB/atom
Space-group type = R3m (160)

Cell lengths 2.906, 2.906, 5.557 Å; angles 74.84, 74.84, 60.00 degrees
Sites, in units of the cell vectors:
O (0.077, 0.077, 0.768)
O (0.255, 0.255, 0.236)
Ti (0.499, 0.499, 0.503)
Mg (0.669, 0.669, 0.992)